Record 1
First-principles (PBE) data for Tl2InAu after structural relaxation, as listed in the Alexandria database.

It has space group Fm-3m (No. 225), with a = 7.499 Å, b = 7.499 Å, c = 7.499 Å, α = 90.00°, β = 90.00° and γ = 90.00°. The inequivalent atoms are Tl at (0.250, 0.250, 0.250), In at (0.000, 0.000, 0.000) and Au at (0.000, 0.000, 0.500).

For the theoretical density, the calculation gives 11.3 g/cm³. For the offset from the most stable computed form, the calculation gives 109.1 meV per atom. As for the raw total energy: -2.62 eV/atom. The value obtained for the formation energy is 0.06 eV per atom. The magnetization is 0.000 μB/cell.

Record 2
First-principles (PBE) data for Li2LaZnGe after structural relaxation, as listed in the Alexandria database.

It has space group P4/mmm (No. 123), with a = 6.665 Å, b = 6.665 Å, c = 5.452 Å, α = 90.00°, β = 90.00° and γ = 90.00°. The inequivalent atoms are Li at (0.000, 0.500, 0.000), La at (0.000, 0.000, 0.000), Zn at (0.500, 0.500, 0.500) and Ge at (0.000, 0.000, 0.500).

For the theoretical density, the calculation gives 2.0 g/cm³. As for the raw total energy: -1.98 eV/atom. The value obtained for the formation energy is 0.94 eV per atom. The magnetization is 0.000 μB/cell.

Record 3
First-principles (PBE) data for Ce3TmSb2 after structural relaxation, as listed in the Alexandria database.

It has space group C2/m (No. 12), with a = 18.215 Å, b = 4.104 Å, c = 9.522 Å, α = 90.00°, β = 111.77° and γ = 90.00°. The inequivalent atoms are Ce at (0.070, 0.000, 0.117), Ce at (0.133, 0.500, 0.990), Ce at (0.203, 0.500, 0.424), Tm at (0.100, 0.000, 0.611), Sb at (0.018, 0.500, 0.331) and Sb at (0.235, 0.500, 0.778).

For the theoretical density, the calculation gives 8.4 g/cm³. As for the raw total energy: -5.71 eV/atom. For the uncorrected formation energy, the calculation gives -0.625 eV per atom. The magnetization is 7.076 μB/cell.

Record 4
First-principles (PBE) data for Tl3AgGe after structural relaxation, as listed in the Alexandria database.

It has space group Pm-3m (No. 221), with a = 5.461 Å, b = 5.461 Å, c = 5.461 Å, α = 90.00°, β = 90.00° and γ = 90.00°. The inequivalent atoms are Tl at (0.000, 0.000, 0.500), Ag at (0.000, 0.000, 0.000) and Ge at (0.500, 0.500, 0.500).

For the theoretical density, the calculation gives 8.1 g/cm³. For the offset from the most stable computed form, the calculation gives 38.5 meV per atom. As for the raw total energy: -2.42 eV/atom. The value obtained for the formation energy is 0.50 eV per atom. The magnetization is 0.000 μB/cell.